PBE with a Hubbard U Rb2MnO4, optimized geometry; E above lowest polymorph = 149 meV/atom; total magnetization = 0.1429 μB per atom; symmetry = I4_122 (98)
1.0
6.2739 -0.0415 3.5873
-2.0120 5.9427 3.5872
0.0304 0.0420 7.2285
O Rb Mn
8 4 2
Direct
0.2194 0.2824 0.4392
0.8413 0.2784 0.4392
0.1587 0.7175 0.5610
0.2216 0.6587 0.0608
0.2176 0.2806 0.0608
0.7785 0.7196 0.9390
0.7804 0.7215 0.5610
0.7825 0.3413 0.9390
0.0000 0.9999 0.0000
0.4999 0.0000 0.5000
0.5001 0.5000 0.5000
0.5000 0.0001 0.0000
0.1250 0.3750 0.2500
0.8750 0.6250 0.7500